Compound: La3CeY2S6
Source: Alexandria
Functional: PBE
Structure: optimized geometry

Cell: 7.004 7.004 7.062 Å, 99.56 99.56 120.08°
Atoms (fractional coordinates):
La 0.000 0.000 0.000
La 0.335 0.665 0.000
La 0.665 0.335 0.000
Ce 0.500 0.500 0.500
Y 0.167 0.833 0.500
Y 0.833 0.167 0.500
S 0.083 0.422 0.265
S 0.239 0.239 0.733
S 0.422 0.083 0.265
S 0.578 0.917 0.735
S 0.761 0.761 0.267
S 0.917 0.578 0.735

As for the raw formation energy: -2093 meV/atom. The value obtained for the final energy is -6.961 eV per atom.

Compound: La4Ce3YS8
Source: Alexandria
Functional: PBE
Structure: optimized geometry

Cell: 8.165 8.165 8.165 Å, 59.85 59.85 59.85°
Atoms (fractional coordinates):
La 0.000 0.000 0.000
La 0.000 0.500 0.500
La 0.500 0.000 0.500
La 0.500 0.500 0.000
Ce 0.000 0.000 0.500
Ce 0.000 0.500 0.000
Ce 0.500 0.000 0.000
Y 0.500 0.500 0.500
S 0.247 0.247 0.247
S 0.251 0.743 0.743
S 0.257 0.257 0.749
S 0.257 0.749 0.257
S 0.743 0.251 0.743
S 0.743 0.743 0.251
S 0.749 0.257 0.257
S 0.753 0.753 0.753

As for the raw formation energy: -2097 meV/atom. The value obtained for the final energy is -6.909 eV per atom.

Compound: LaCeSb2
Source: Alexandria
Functional: PBE
Structure: optimized geometry

Cell: 4.563 4.563 22.392 Å, 90.00 90.00 120.00°
Atoms (fractional coordinates):
La 0.000 0.000 0.000
La 0.333 0.667 0.667
La 0.667 0.333 0.333
Ce 0.000 0.000 0.500
Ce 0.333 0.667 0.167
Ce 0.667 0.333 0.833
Sb 0.000 0.000 0.247
Sb 0.000 0.000 0.753
Sb 0.333 0.667 0.419
Sb 0.333 0.667 0.914
Sb 0.667 0.333 0.086
Sb 0.667 0.333 0.581

Its energy above the most stable polymorph in this dataset is 0 meV per atom. As for the raw formation energy: -1160 meV/atom. The value obtained for the final energy is -5.937 eV per atom.

Compound: LaCeSb2
Source: Alexandria
Functional: PBE
Structure: optimized geometry

Cell: 4.500 4.500 23.410 Å, 90.00 90.00 120.00°
Atoms (fractional coordinates):
La 0.000 0.000 0.000
La 0.333 0.667 0.667
La 0.667 0.333 0.333
Ce 0.000 0.000 0.829
Ce 0.333 0.667 0.495
Ce 0.667 0.333 0.162
Sb 0.000 0.000 0.244
Sb 0.000 0.000 0.417
Sb 0.333 0.667 0.084
Sb 0.333 0.667 0.911
Sb 0.667 0.333 0.577
Sb 0.667 0.333 0.751

Its energy above the most stable polymorph in this dataset is 112 meV per atom. As for the raw formation energy: -1048 meV/atom. The value obtained for the final energy is -5.824 eV per atom.

Compound: LaCe2Sb3
Source: Alexandria
Functional: PBE
Structure: optimized geometry

Cell: 9.063 9.063 9.063 Å, 50.98 50.98 50.98°
Atoms (fractional coordinates):
La 0.000 0.000 0.000
La 0.500 0.500 0.500
Ce 0.166 0.166 0.166
Ce 0.334 0.334 0.334
Ce 0.666 0.666 0.666
Ce 0.834 0.834 0.834
Sb 0.078 0.750 0.422
Sb 0.250 0.578 0.922
Sb 0.422 0.078 0.750
Sb 0.578 0.922 0.250
Sb 0.750 0.422 0.078
Sb 0.922 0.250 0.578

Its energy above the most stable polymorph in this dataset is 149 meV per atom. As for the raw formation energy: -969 meV/atom. The value obtained for the final energy is -5.829 eV per atom.

Compound: LaCeSb
Source: Alexandria
Functional: PBE
Structure: optimized geometry

Cell: 5.080 5.080 4.265 Å, 90.00 90.00 120.00°
Atoms (fractional coordinates):
La 0.000 0.000 0.000
Ce 0.333 0.667 0.578
Sb 0.667 0.333 0.312

As for the raw formation energy: -418 meV/atom. The value obtained for the final energy is -5.413 eV per atom.

Compound: LaCeSb2
Source: Alexandria
Functional: PBE
Structure: optimized geometry

Cell: 5.831 5.831 3.454 Å, 90.00 90.00 90.00°
Atoms (fractional coordinates):
La 0.000 0.000 0.000
Ce 0.500 0.500 0.000
Sb 0.000 0.500 0.500
Sb 0.500 0.000 0.500

Its energy above the most stable polymorph in this dataset is 218 meV per atom. As for the raw formation energy: -942 meV/atom. The value obtained for the final energy is -5.719 eV per atom.

Compound: LaCe2Sb
Source: Alexandria
Functional: PBE
Structure: optimized geometry

Cell: 4.206 4.206 6.975 Å, 90.00 90.00 90.00°
Atoms (fractional coordinates):
La 0.000 0.000 0.000
Ce 0.500 0.500 0.307
Ce 0.500 0.500 0.693
Sb 0.000 0.000 0.500

Its energy above the most stable polymorph in this dataset is 122 meV per atom. As for the raw formation energy: -493 meV/atom. The value obtained for the final energy is -5.723 eV per atom.

Compound: LaCe2Sb
Source: Alexandria
Functional: PBE
Structure: optimized geometry

Cell: 7.716 7.716 7.716 Å, 90.00 90.00 90.00°
Atoms (fractional coordinates):
La 0.000 0.000 0.000
La 0.000 0.500 0.500
La 0.500 0.000 0.500
La 0.500 0.500 0.000
Ce 0.250 0.250 0.250
Ce 0.250 0.250 0.750
Ce 0.250 0.750 0.250
Ce 0.250 0.750 0.750
Ce 0.750 0.250 0.250
Ce 0.750 0.250 0.750
Ce 0.750 0.750 0.250
Ce 0.750 0.750 0.750
Sb 0.000 0.000 0.500
Sb 0.000 0.500 0.000
Sb 0.500 0.000 0.000
Sb 0.500 0.500 0.500

Its energy above the most stable polymorph in this dataset is 330 meV per atom. As for the raw formation energy: -285 meV/atom. The value obtained for the final energy is -5.515 eV per atom.

Compound: La4CeSb5
Source: Alexandria
Functional: PBE
Structure: optimized geometry

Cell: 12.183 12.183 12.183 Å, 158.21 149.01 38.20°
Atoms (fractional coordinates):
La 0.100 0.100 0.000
La 0.301 0.301 0.000
La 0.699 0.699 0.000
La 0.900 0.900 0.000
Ce 0.500 0.500 0.000
Sb 0.000 0.500 0.500
Sb 0.201 0.701 0.500
Sb 0.403 0.903 0.500
Sb 0.597 0.097 0.500
Sb 0.799 0.299 0.500

Its energy above the most stable polymorph in this dataset is 0 meV per atom. As for the raw formation energy: -1232 meV/atom. The value obtained for the final energy is -5.858 eV per atom.

Compound: LaCeSb2
Source: Alexandria
Functional: PBE
Structure: optimized geometry

Cell: 6.431 4.908 8.542 Å, 90.00 109.48 90.00°
Atoms (fractional coordinates):
La 0.247 0.250 0.311
La 0.753 0.750 0.689
Ce 0.239 0.250 0.810
Ce 0.761 0.750 0.190
Sb 0.222 0.750 0.559
Sb 0.234 0.750 0.054
Sb 0.766 0.250 0.946
Sb 0.778 0.250 0.441

Its energy above the most stable polymorph in this dataset is 122 meV per atom. As for the raw formation energy: -1038 meV/atom. The value obtained for the final energy is -5.815 eV per atom.

Compound: La3Ce5Sb8
Source: Alexandria
Functional: PBE
Structure: optimized geometry

Cell: 9.102 9.102 9.102 Å, 59.96 59.96 59.96°
Atoms (fractional coordinates):
La 0.000 0.500 0.500
La 0.500 0.000 0.500
La 0.500 0.500 0.000
Ce 0.000 0.000 0.000
Ce 0.000 0.000 0.500
Ce 0.000 0.500 0.000
Ce 0.500 0.000 0.000
Ce 0.500 0.500 0.500
Sb 0.245 0.750 0.750
Sb 0.247 0.247 0.247
Sb 0.250 0.250 0.755
Sb 0.250 0.755 0.250
Sb 0.750 0.245 0.750
Sb 0.750 0.750 0.245
Sb 0.753 0.753 0.753
Sb 0.755 0.250 0.250

As for the raw formation energy: -1128 meV/atom. The value obtained for the final energy is -5.967 eV per atom.

Compound: La5CeSb4
Source: Alexandria
Functional: PBE
Structure: optimized geometry

Cell: 10.061 10.061 8.982 Å, 104.00 104.00 25.73°
Atoms (fractional coordinates):
La 0.000 0.000 0.000
La 0.329 0.329 0.160
La 0.335 0.335 0.671
La 0.665 0.665 0.329
La 0.671 0.671 0.840
Ce 0.000 0.000 0.500
Sb 0.167 0.167 0.586
Sb 0.495 0.495 0.250
Sb 0.505 0.505 0.750
Sb 0.833 0.833 0.414

As for the raw formation energy: -833 meV/atom. The value obtained for the final energy is -5.539 eV per atom.

Compound: La3CeSb3
Source: Alexandria
Functional: PBE
Structure: optimized geometry

Cell: 9.802 9.802 6.444 Å, 90.00 90.00 120.00°
Atoms (fractional coordinates):
La 0.047 0.362 0.250
La 0.315 0.953 0.250
La 0.362 0.315 0.750
La 0.638 0.685 0.250
La 0.685 0.047 0.750
La 0.953 0.638 0.750
Ce 0.333 0.667 0.750
Ce 0.667 0.333 0.250
Sb 0.029 0.341 0.750
Sb 0.312 0.971 0.750
Sb 0.341 0.312 0.250
Sb 0.659 0.688 0.750
Sb 0.688 0.029 0.250
Sb 0.971 0.659 0.250

As for the raw formation energy: -806 meV/atom. The value obtained for the final energy is -5.532 eV per atom.

Compound: LaCeSb
Source: Alexandria
Functional: PBE
Structure: optimized geometry

Cell: 4.574 4.457 9.100 Å, 90.00 91.49 90.00°
Atoms (fractional coordinates):
La 0.248 0.250 0.358
La 0.752 0.750 0.642
Ce 0.202 0.750 0.006
Ce 0.798 0.250 0.994
Sb 0.259 0.250 0.729
Sb 0.741 0.750 0.271

As for the raw formation energy: -843 meV/atom. The value obtained for the final energy is -5.837 eV per atom.

Compound: LaCe2Sb4
Source: Alexandria
Functional: PBE
Structure: optimized geometry

Cell: 13.351 13.351 13.351 Å, 19.58 19.58 19.58°
Atoms (fractional coordinates):
La 0.000 0.000 0.000
Ce 0.100 0.100 0.100
Ce 0.900 0.900 0.900
Sb 0.187 0.187 0.187
Sb 0.385 0.385 0.385
Sb 0.615 0.615 0.615
Sb 0.813 0.813 0.813

As for the raw formation energy: -734 meV/atom. The value obtained for the final energy is -5.489 eV per atom.

Compound: LaCeSb2
Source: Alexandria
Functional: PBE
Structure: optimized geometry

Cell: 4.563 6.460 9.143 Å, 90.00 90.00 90.00°
Atoms (fractional coordinates):
La 0.250 0.250 0.125
La 0.750 0.750 0.875
Ce 0.250 0.250 0.624
Ce 0.750 0.750 0.376
Sb 0.250 0.750 0.131
Sb 0.250 0.750 0.620
Sb 0.750 0.250 0.380
Sb 0.750 0.250 0.869

Its energy above the most stable polymorph in this dataset is 2 meV per atom. As for the raw formation energy: -1159 meV/atom. The value obtained for the final energy is -5.935 eV per atom.

Compound: La2Ce2Sb3
Source: Alexandria
Functional: PBE
Structure: optimized geometry

Cell: 14.885 4.458 7.783 Å, 90.00 99.55 90.00°
Atoms (fractional coordinates):
La 0.122 0.000 0.381
La 0.378 0.500 0.619
La 0.622 0.500 0.381
La 0.878 0.000 0.619
Ce 0.125 0.500 0.875
Ce 0.375 0.000 0.125
Ce 0.625 0.000 0.875
Ce 0.875 0.500 0.125
Sb 0.000 0.000 0.000
Sb 0.248 0.500 0.247
Sb 0.252 0.000 0.753
Sb 0.500 0.500 0.000
Sb 0.748 0.000 0.247
Sb 0.752 0.500 0.753

As for the raw formation energy: -854 meV/atom. The value obtained for the final energy is -5.724 eV per atom.

Compound: LaCeSb
Source: Alexandria
Functional: PBE
Structure: optimized geometry

Cell: 7.508 7.508 7.508 Å, 90.00 90.00 90.00°
Atoms (fractional coordinates):
La 0.000 0.000 0.000
La 0.000 0.500 0.500
La 0.500 0.000 0.500
La 0.500 0.500 0.000
Ce 0.000 0.000 0.500
Ce 0.000 0.500 0.000
Ce 0.500 0.000 0.000
Ce 0.500 0.500 0.500
Sb 0.250 0.250 0.250
Sb 0.250 0.750 0.750
Sb 0.750 0.250 0.750
Sb 0.750 0.750 0.250

As for the raw formation energy: -547 meV/atom. The value obtained for the final energy is -5.541 eV per atom.

Compound: LaCe2Sb
Source: Alexandria
Functional: PBE
Structure: optimized geometry

Cell: 4.573 4.455 11.801 Å, 90.00 100.39 90.00°
Atoms (fractional coordinates):
La 0.198 0.250 0.387
La 0.802 0.750 0.613
Ce 0.100 0.750 0.110
Ce 0.495 0.250 0.114
Ce 0.505 0.750 0.886
Ce 0.900 0.250 0.890
Sb 0.326 0.250 0.675
Sb 0.674 0.750 0.325

Its energy above the most stable polymorph in this dataset is 0 meV per atom. As for the raw formation energy: -616 meV/atom. The value obtained for the final energy is -5.845 eV per atom.

Compound: La4CeSb5
Source: Alexandria
Functional: PBE
Structure: optimized geometry

Cell: 16.592 16.592 16.592 Å, 164.04 164.04 22.65°
Atoms (fractional coordinates):
La 0.100 0.100 0.000
La 0.300 0.300 0.000
La 0.700 0.700 0.000
La 0.900 0.900 0.000
Ce 0.500 0.500 0.000
Sb 0.000 0.000 0.000
Sb 0.200 0.200 0.000
Sb 0.402 0.402 0.000
Sb 0.598 0.598 0.000
Sb 0.800 0.800 0.000

Its energy above the most stable polymorph in this dataset is 4 meV per atom. As for the raw formation energy: -1228 meV/atom. The value obtained for the final energy is -5.854 eV per atom.

Compound: LaCe2Sb
Source: Alexandria
Functional: PBE
Structure: optimized geometry

Cell: 4.803 4.803 4.929 Å, 90.00 90.00 90.00°
Atoms (fractional coordinates):
La 0.000 0.000 0.000
Ce 0.000 0.500 0.500
Ce 0.500 0.000 0.500
Sb 0.500 0.500 0.000

Its energy above the most stable polymorph in this dataset is 72 meV per atom. As for the raw formation energy: -543 meV/atom. The value obtained for the final energy is -5.773 eV per atom.

Compound: LaCe2Sb3
Source: Alexandria
Functional: PBE
Structure: optimized geometry

Cell: 4.544 6.431 13.647 Å, 90.00 90.00 90.00°
Atoms (fractional coordinates):
La 0.000 0.000 0.000
La 0.500 0.500 0.500
Ce 0.000 0.000 0.334
Ce 0.000 0.000 0.666
Ce 0.500 0.500 0.166
Ce 0.500 0.500 0.834
Sb 0.000 0.500 0.000
Sb 0.000 0.500 0.329
Sb 0.000 0.500 0.671
Sb 0.500 0.000 0.171
Sb 0.500 0.000 0.500
Sb 0.500 0.000 0.829

Its energy above the most stable polymorph in this dataset is 0 meV per atom. As for the raw formation energy: -1118 meV/atom. The value obtained for the final energy is -5.978 eV per atom.